DFT (PBE-GGA) results for a relaxed Ca2SeS crystal.

Properties
Symmetry = No. 166

Unit cell a=4.1272 b=4.1272 c=20.2438 alpha=90.00 beta=90.00 gamma=120.00
Positions (direct):
Ca 0.0000 0.0000 0.2469
Ca 0.0000 0.0000 0.7531
Ca 0.3333 0.6667 0.4197
Ca 0.3333 0.6667 0.9136
Ca 0.6667 0.3333 0.0864
Ca 0.6667 0.3333 0.5803
Se 0.0000 0.0000 0.0000
Se 0.3333 0.6667 0.6667
Se 0.6667 0.3333 0.3333
S 0.0000 0.0000 0.5000
S 0.3333 0.6667 0.1667
S 0.6667 0.3333 0.8333

---

DFT (PBE-GGA) results for a relaxed Ca3Se5S12 crystal.

Properties
Symmetry = No. 230

Unit cell a=13.6249 b=13.6249 c=13.6249 alpha=109.47 beta=109.47 gamma=109.47
Positions (direct):
Ca 0.1250 0.2500 0.3750
Ca 0.1250 0.3750 0.7500
Ca 0.2500 0.3750 0.1250
Ca 0.2500 0.8750 0.6250
Ca 0.3750 0.1250 0.2500
Ca 0.3750 0.7500 0.1250
Ca 0.6250 0.2500 0.8750
Ca 0.6250 0.8750 0.7500
Ca 0.7500 0.1250 0.3750
Ca 0.7500 0.6250 0.8750
Ca 0.8750 0.6250 0.2500
Ca 0.8750 0.7500 0.6250
Se 0.0000 0.0000 0.0000
Se 0.0000 0.0000 0.5000
Se 0.0000 0.5000 0.0000
Se 0.0000 0.5000 0.5000
Se 0.1250 0.7500 0.8750
Se 0.1250 0.8750 0.2500
Se 0.2500 0.1250 0.8750
Se 0.2500 0.6250 0.3750
Se 0.3750 0.2500 0.6250
Se 0.3750 0.6250 0.7500
Se 0.5000 0.0000 0.0000
Se 0.5000 0.0000 0.5000
Se 0.5000 0.5000 0.0000
Se 0.5000 0.5000 0.5000
Se 0.6250 0.3750 0.2500
Se 0.6250 0.7500 0.3750
Se 0.7500 0.3750 0.6250
Se 0.7500 0.8750 0.1250
Se 0.8750 0.1250 0.7500
Se 0.8750 0.2500 0.1250
S 0.0362 0.2058 0.1281
S 0.0362 0.3305 0.9081
S 0.0776 0.7058 0.6695
S 0.0776 0.8719 0.4081
S 0.0919 0.6281 0.4224
S 0.0919 0.9638 0.6695
S 0.1281 0.0362 0.2058
S 0.1281 0.5919 0.9224
S 0.1695 0.2058 0.5776
S 0.1695 0.4638 0.5919
S 0.2058 0.1281 0.0362
S 0.2058 0.5776 0.1695
S 0.2942 0.3305 0.9224
S 0.2942 0.4638 0.3719
S 0.3305 0.9081 0.0362
S 0.3305 0.9224 0.2942
S 0.3719 0.2942 0.4638
S 0.3719 0.5776 0.9081
S 0.4081 0.0776 0.8719
S 0.4081 0.8305 0.5362
S 0.4224 0.0919 0.6281
S 0.4224 0.8305 0.7942
S 0.4638 0.3719 0.2942
S 0.4638 0.5919 0.1695
S 0.5362 0.4081 0.8305
S 0.5362 0.6281 0.7058
S 0.5776 0.1695 0.2058
S 0.5776 0.9081 0.3719
S 0.5919 0.1695 0.4638
S 0.5919 0.9224 0.1281
S 0.6281 0.4224 0.0919
S 0.6281 0.7058 0.5362
S 0.6695 0.0776 0.7058
S 0.6695 0.0919 0.9638
S 0.7058 0.5362 0.6281
S 0.7058 0.6695 0.0776
S 0.7942 0.4224 0.8305
S 0.7942 0.8719 0.9638
S 0.8305 0.5362 0.4081
S 0.8305 0.7942 0.4224
S 0.8719 0.4081 0.0776
S 0.8719 0.9638 0.7942
S 0.9081 0.0362 0.3305
S 0.9081 0.3719 0.5776
S 0.9224 0.1281 0.5919
S 0.9224 0.2942 0.3305
S 0.9638 0.6695 0.0919
S 0.9638 0.7942 0.8719

---

DFT (PBE-GGA) results for a relaxed Ca6SeS5 crystal.

Properties
Symmetry = No. 12

Unit cell a=7.0519 b=7.0519 c=7.0503 alpha=99.60 beta=99.60 gamma=120.00
Positions (direct):
Ca 0.0760 0.4158 0.7474
Ca 0.2449 0.2449 0.2536
Ca 0.4158 0.0760 0.7474
Ca 0.5842 0.9240 0.2526
Ca 0.7551 0.7551 0.7464
Ca 0.9240 0.5842 0.2526
Se 0.5000 0.5000 0.0000
S 0.0000 0.0000 0.5000
S 0.1666 0.8334 0.0000
S 0.3339 0.6661 0.5000
S 0.6661 0.3339 0.5000
S 0.8334 0.1666 0.0000

---

DFT (PBE-GGA) results for a relaxed Ca2SeS crystal.

Properties
Symmetry = No. 225

Unit cell a=7.1496 b=7.1496 c=7.1496 alpha=90.00 beta=90.00 gamma=90.00
Positions (direct):
Ca 0.2500 0.2500 0.2500
Ca 0.2500 0.2500 0.7500
Ca 0.2500 0.7500 0.2500
Ca 0.2500 0.7500 0.7500
Ca 0.7500 0.2500 0.2500
Ca 0.7500 0.2500 0.7500
Ca 0.7500 0.7500 0.2500
Ca 0.7500 0.7500 0.7500
Se 0.0000 0.0000 0.0000
Se 0.0000 0.5000 0.5000
Se 0.5000 0.0000 0.5000
Se 0.5000 0.5000 0.0000
S 0.0000 0.0000 0.5000
S 0.0000 0.5000 0.0000
S 0.5000 0.0000 0.0000
S 0.5000 0.5000 0.5000

---

DFT (PBE-GGA) results for a relaxed Ca2SeS crystal.

Properties
Symmetry = No. 122

Unit cell a=6.5111 b=6.5111 c=12.6398 alpha=90.00 beta=90.00 gamma=90.00
Positions (direct):
Ca 0.2334 0.2500 0.1250
Ca 0.2500 0.7334 0.3750
Ca 0.2500 0.7666 0.8750
Ca 0.2666 0.2500 0.6250
Ca 0.7334 0.7500 0.6250
Ca 0.7500 0.2334 0.8750
Ca 0.7500 0.2666 0.3750
Ca 0.7666 0.7500 0.1250
Se 0.0000 0.0000 0.5000
Se 0.0000 0.5000 0.7500
Se 0.5000 0.0000 0.2500
Se 0.5000 0.5000 0.0000
S 0.0000 0.0000 0.0000
S 0.0000 0.5000 0.2500
S 0.5000 0.0000 0.7500
S 0.5000 0.5000 0.5000

---

DFT (PBE-GGA) results for a relaxed Ca5Se4S crystal.

Properties
Symmetry = No. 71

Unit cell a=11.0698 b=11.0698 c=11.0698 alpha=158.24 beta=148.99 gamma=38.20
Positions (direct):
Ca 0.0000 0.0000 0.0000
Ca 0.2008 0.2008 0.0000
Ca 0.4043 0.4043 0.0000
Ca 0.5957 0.5957 0.0000
Ca 0.7992 0.7992 0.0000
Se 0.0995 0.5995 0.5000
Se 0.3017 0.8017 0.5000
Se 0.6983 0.1983 0.5000
Se 0.9005 0.4005 0.5000
S 0.5000 0.0000 0.5000

---

DFT (PBE-GGA) results for a relaxed Ca2SeS crystal.

Properties
Symmetry = No. 123

Unit cell a=4.1324 b=4.1324 c=5.8440 alpha=90.00 beta=90.00 gamma=90.00
Positions (direct):
Ca 0.0000 0.0000 0.0000
Ca 0.5000 0.5000 0.5000
Se 0.0000 0.0000 0.5000
S 0.5000 0.5000 0.0000

---

DFT (PBE-GGA) results for a relaxed CaSe2S2 crystal.

Properties
Symmetry = No. 127

Unit cell a=7.7435 b=7.7435 c=4.1630 alpha=90.00 beta=90.00 gamma=90.00
Positions (direct):
Ca 0.0000 0.0000 0.0000
Ca 0.5000 0.5000 0.0000
Se 0.2216 0.2784 0.5000
Se 0.2784 0.7784 0.5000
Se 0.7216 0.2216 0.5000
Se 0.7784 0.7216 0.5000
S 0.1734 0.6734 0.0000
S 0.3266 0.1734 0.0000
S 0.6734 0.8266 0.0000
S 0.8266 0.3266 0.0000

---

DFT (PBE-GGA) results for a relaxed Ca2SeS crystal.

Properties
Symmetry = No. 160

Unit cell a=4.0486 b=4.0486 c=21.3192 alpha=90.00 beta=90.00 gamma=120.00
Positions (direct):
Ca 0.0000 0.0000 0.0000
Ca 0.0000 0.0000 0.1640
Ca 0.3333 0.6667 0.6667
Ca 0.3333 0.6667 0.8307
Ca 0.6667 0.3333 0.3333
Ca 0.6667 0.3333 0.4974
Se 0.0000 0.0000 0.5832
Se 0.3333 0.6667 0.2498
Se 0.6667 0.3333 0.9165
S 0.0000 0.0000 0.4135
S 0.3333 0.6667 0.0801
S 0.6667 0.3333 0.7468

---

DFT (PBE-GGA) results for a relaxed CaSmSeS crystal.

Properties
Symmetry = No. 160

Unit cell a=4.0647 b=4.0647 c=20.4454 alpha=90.00 beta=90.00 gamma=120.00
Positions (direct):
Ca 0.0000 0.0000 0.0000
Ca 0.3333 0.6667 0.6667
Ca 0.6667 0.3333 0.3333
Sm 0.0000 0.0000 0.4914
Sm 0.3333 0.6667 0.1581
Sm 0.6667 0.3333 0.8247
Se 0.0000 0.0000 0.2462
Se 0.3333 0.6667 0.9129
Se 0.6667 0.3333 0.5795
S 0.0000 0.0000 0.7446
S 0.3333 0.6667 0.4112
S 0.6667 0.3333 0.0779

---

DFT (PBE-GGA) results for a relaxed SrCa2SeS crystal.

Properties
Symmetry = No. 123

Unit cell a=5.0818 b=5.0818 c=7.7035 alpha=90.00 beta=90.00 gamma=90.00
Positions (direct):
Sr 0.0000 0.0000 0.0000
Ca 0.0000 0.5000 0.5000
Ca 0.5000 0.0000 0.5000
Se 0.5000 0.5000 0.0000
S 0.5000 0.5000 0.5000

---

DFT (PBE-GGA) results for a relaxed SrCaSeS crystal.

Properties
Symmetry = No. 160

Unit cell a=4.2482 b=4.2482 c=20.8551 alpha=90.00 beta=90.00 gamma=120.00
Positions (direct):
Sr 0.0000 0.0000 0.0000
Sr 0.3333 0.6667 0.6667
Sr 0.6667 0.3333 0.3333
Ca 0.0000 0.0000 0.4941
Ca 0.3333 0.6667 0.1608
Ca 0.6667 0.3333 0.8275
Se 0.0000 0.0000 0.2424
Se 0.3333 0.6667 0.9090
Se 0.6667 0.3333 0.5757
S 0.0000 0.0000 0.7510
S 0.3333 0.6667 0.4177
S 0.6667 0.3333 0.0844

---

DFT (PBE-GGA) results for a relaxed SrCa2SeS crystal.

Properties
Symmetry = No. 123

Unit cell a=6.5364 b=6.5364 c=5.1250 alpha=90.00 beta=90.00 gamma=90.00
Positions (direct):
Sr 0.0000 0.0000 0.0000
Ca 0.0000 0.5000 0.0000
Ca 0.5000 0.0000 0.0000
Se 0.5000 0.5000 0.5000
S 0.0000 0.0000 0.5000

---

DFT (PBE-GGA) results for a relaxed CaTaSeS2 crystal.

Properties
Symmetry = No. 123

Unit cell a=4.9468 b=4.9468 c=5.2082 alpha=90.00 beta=90.00 gamma=90.00
Positions (direct):
Ca 0.0000 0.0000 0.0000
Ta 0.5000 0.5000 0.5000
Se 0.0000 0.0000 0.5000
S 0.0000 0.5000 0.0000
S 0.5000 0.0000 0.0000

---

DFT (PBE-GGA) results for a relaxed CaTaSe2S crystal.

Properties
Symmetry = No. 123

Unit cell a=5.2813 b=5.2813 c=4.4993 alpha=90.00 beta=90.00 gamma=90.00
Positions (direct):
Ca 0.0000 0.0000 0.0000
Ta 0.5000 0.5000 0.0000
Se 0.0000 0.5000 0.5000
Se 0.5000 0.0000 0.5000
S 0.5000 0.5000 0.5000

---

DFT (PBE-GGA) results for a relaxed CaTbSeS crystal.

Properties
Symmetry = No. 160

Unit cell a=3.9599 b=3.9599 c=21.3156 alpha=90.00 beta=90.00 gamma=120.00
Positions (direct):
Ca 0.0000 0.0000 0.0000
Ca 0.3333 0.6667 0.6667
Ca 0.6667 0.3333 0.3333
Tb 0.0000 0.0000 0.8325
Tb 0.3333 0.6667 0.4992
Tb 0.6667 0.3333 0.1658
Se 0.0000 0.0000 0.4176
Se 0.3333 0.6667 0.0842
Se 0.6667 0.3333 0.7509
S 0.0000 0.0000 0.2453
S 0.3333 0.6667 0.9119
S 0.6667 0.3333 0.5786

---

DFT (PBE-GGA) results for a relaxed CaTcSe2S crystal.

Properties
Symmetry = No. 123

Unit cell a=4.6247 b=4.6247 c=6.2982 alpha=90.00 beta=90.00 gamma=90.00
Positions (direct):
Ca 0.0000 0.0000 0.0000
Tc 0.0000 0.0000 0.5000
Se 0.0000 0.5000 0.5000
Se 0.5000 0.0000 0.5000
S 0.5000 0.5000 0.0000

---

DFT (PBE-GGA) results for a relaxed CaTmSeS crystal.

Properties
Symmetry = No. 160

Unit cell a=3.9200 b=3.9200 c=21.0627 alpha=90.00 beta=90.00 gamma=120.00
Positions (direct):
Ca 0.0000 0.0000 0.0000
Ca 0.3333 0.6667 0.6667
Ca 0.6667 0.3333 0.3333
Tm 0.0000 0.0000 0.8322
Tm 0.3333 0.6667 0.4989
Tm 0.6667 0.3333 0.1655
Se 0.0000 0.0000 0.4195
Se 0.3333 0.6667 0.0862
Se 0.6667 0.3333 0.7528
S 0.0000 0.0000 0.2429
S 0.3333 0.6667 0.9096
S 0.6667 0.3333 0.5763

---

DFT (PBE-GGA) results for a relaxed CaYSeS crystal.

Properties
Symmetry = No. 160

Unit cell a=4.0197 b=4.0197 c=20.1790 alpha=90.00 beta=90.00 gamma=120.00
Positions (direct):
Ca 0.0000 0.0000 0.0000
Ca 0.3333 0.6667 0.6667
Ca 0.6667 0.3333 0.3333
Y 0.0000 0.0000 0.4909
Y 0.3333 0.6667 0.1575
Y 0.6667 0.3333 0.8242
Se 0.0000 0.0000 0.2438
Se 0.3333 0.6667 0.9105
Se 0.6667 0.3333 0.5771
S 0.0000 0.0000 0.7466
S 0.3333 0.6667 0.4132
S 0.6667 0.3333 0.0799

---

DFT (PBE-GGA) results for a relaxed CaSiS crystal.

Properties
Symmetry = No. 129

Unit cell a=3.8061 b=3.8061 c=9.6851 alpha=90.00 beta=90.00 gamma=90.00
Positions (direct):
Ca 0.2500 0.2500 0.1496
Ca 0.7500 0.7500 0.8504
Si 0.2500 0.7500 0.5000
Si 0.7500 0.2500 0.5000
S 0.2500 0.2500 0.8493
S 0.7500 0.7500 0.1507

---

Number 1: formation energy without anion corrections -2.08 eV per atom, calculated volume 298.6 Å³ per cell. Number 2: formation energy without anion corrections -0.28 eV per atom, calculated volume 1947.0 Å³ per cell. Number 3: formation energy without anion corrections -2.13 eV per atom, calculated volume 286.3 Å³ per cell. Number 4: formation energy without anion corrections -1.72 eV per atom, calculated volume 365.5 Å³ per cell. Number 5: formation energy without anion corrections -1.83 eV per atom, calculated volume 535.8 Å³ per cell. Number 6: formation energy without anion corrections -2.05 eV per atom, calculated volume 258.7 Å³ per cell. Number 7: formation energy without anion corrections -2.08 eV per atom, calculated volume 99.8 Å³ per cell. Number 8: formation energy without anion corrections -0.56 eV per atom, calculated volume 249.6 Å³ per cell. Number 9: formation energy without anion corrections -1.97 eV per atom, calculated volume 302.6 Å³ per cell. Number 10: formation energy without anion corrections -1.98 eV per atom, calculated volume 292.5 Å³ per cell. Number 11: formation energy without anion corrections -0.93 eV per atom, calculated volume 198.9 Å³ per cell. Number 12: formation energy without anion corrections -2.08 eV per atom, calculated volume 325.9 Å³ per cell. Number 13: formation energy without anion corrections 0.05 eV per atom, calculated volume 219.0 Å³ per cell. Number 14: formation energy without anion corrections 0.81 eV per atom, calculated volume 127.4 Å³ per cell. Number 15: formation energy without anion corrections 0.10 eV per atom, calculated volume 125.5 Å³ per cell. Number 16: formation energy without anion corrections -1.85 eV per atom, calculated volume 289.5 Å³ per cell. Number 17: formation energy without anion corrections -0.15 eV per atom, calculated volume 134.7 Å³ per cell. Number 18: formation energy without anion corrections -1.82 eV per atom, calculated volume 280.3 Å³ per cell. Number 19: formation energy without anion corrections -1.97 eV per atom, calculated volume 282.4 Å³ per cell. Number 20: formation energy without anion corrections -0.87 eV per atom, calculated volume 140.3 Å³ per cell.